NaCa2Bi | Alexandria via LeMat-Bulk | GGA-PBE | optimized geometry; energy = -2.78 eV per atom; symmetry = No. 123; density of states at the Fermi level = 0.374 states/eV per atom; E_form = -1.9 eV/f.u.
1.0
5.2553 0.0000 0.0000
0.0000 5.2553 0.0000
0.0000 0.0000 4.5978
Na Ca Bi
1 2 1
direct
0.0000 0.0000 0.0000
0.0000 0.5000 0.5000
0.5000 0.0000 0.5000
0.5000 0.5000 0.0000